Entry 1:
Density functional theory data (PBE-GGA) for a geometry-optimized K2CdSn structure.

- DOS(E_F) (states/eV per cell) = 4.38
- total energy (Ry per atom) = -0.12633
- ΔH_f (0 K) (eV per atom) = 0.0594

Lattice parameters (Å, degrees): 5.928 5.928 5.928 60.00 60.00 60.00
Element x y z (fractional)
Cd 0.000 0.000 0.000
Sn 0.500 0.500 0.500
K 0.750 0.750 0.750
K 0.250 0.250 0.250

Entry 2:
Density functional theory data (PBE-GGA) for a geometry-optimized HoMgZrHg structure.

- DOS(E_F) (states/eV per cell) = 5.09
- total energy (Ry per atom) = -0.28264
- ΔH_f (0 K) (eV per atom) = -0.0900

Lattice parameters (Å, degrees): 5.115 5.115 5.115 60.00 60.00 60.00
Last column: magnetic moment on the atom in μB.
Element x y z (fractional)
Ho 0.250 0.250 0.250  0.07
Mg 0.000 0.000 0.000  0.00
Hg 0.500 0.500 0.500  0.00
Zr 0.750 0.750 0.750  0.13

Entry 3:
Density functional theory data (PBE-GGA) for a geometry-optimized YHfIn6 structure.

- DOS(E_F) (states/eV per cell) = 4.71
- total energy (Ry per atom) = -0.31895
- ΔH_f (0 K) (eV per atom) = -0.2336

Lattice parameters (Å, degrees): 4.583 4.583 9.103 90.00 90.00 90.00
Element x y z (fractional)
In 0.000 0.500 0.259
In 0.500 0.500 0.500
In 0.000 0.500 0.741
In 0.500 0.000 0.259
In 0.500 0.500 0.000
In 0.500 0.000 0.741
Y 0.000 0.000 0.000
Hf 0.000 0.000 0.500

Entry 4:
Density functional theory data (PBE-GGA) for a geometry-optimized Zr2AlOs structure.

- DOS(E_F) (states/eV per cell) = 6.70
- total energy (Ry per atom) = -0.58035
- ΔH_f (0 K) (eV per atom) = 0.1211

Lattice parameters (Å, degrees): 7.729 7.729 6.129 50.91 50.91 90.00
Element x y z (fractional)
Os 0.750 0.250 0.500
Os 0.000 0.000 0.000
Al 0.500 0.500 0.000
Al 0.250 0.750 0.500
Zr 0.078 0.625 0.250
Zr 0.375 0.328 0.750
Zr 0.875 0.922 0.750
Zr 0.672 0.125 0.250